No. 1
Computed, not measured: a relaxed structure of LaTl2Ag2 at the PBE-GGA level of DFT.

The space group is I4/mmm (No. 139) and the conventional cell measures 4.514, 4.514 and 12.913 Å, with angles of 90.00, 90.00 and 90.00 degrees. Symmetry generates all atoms from La at (0.000, 0.000, 0.000), Tl at (0.000, 0.500, 0.250) and Ag at (0.000, 0.000, 0.397).

Its energy above the lowest structure with this stoichiometry is 0.064 eV/f.u. The density of states at the Fermi level is 6.21 states/eV per cell. The value obtained for the energy relative to the elements is -133 meV/atom.

=====

No. 2
Computed, not measured: a relaxed structure of CaPm2Cd at the PBE-GGA level of DFT.

The space group is Pnma (No. 62) and the conventional cell measures 6.749, 11.421 and 6.706 Å, with angles of 90.00, 90.00 and 90.00 degrees. Symmetry generates all atoms from Ca at (0.026, 0.250, 0.084), Pm at (0.177, 0.527, 0.312) and Cd at (0.078, 0.250, 0.567).

Its energy above the lowest structure with this stoichiometry is 0.000 eV/f.u. The density of states at the Fermi level is 20.57 states/eV per cell. The value obtained for the energy relative to the elements is -96 meV/atom.

=====

No. 3
Computed, not measured: a relaxed structure of CrCd2GaC at the PBE-GGA level of DFT.

The space group is P4/mmm (No. 123) and the conventional cell measures 5.012, 5.012 and 3.732 Å, with angles of 90.00, 90.00 and 90.00 degrees. Symmetry generates all atoms from Cr at (0.000, 0.000, 0.000), Cd at (0.000, 0.500, 0.500), Ga at (0.500, 0.500, 0.000) and C at (0.500, 0.500, 0.500).

The density of states at the Fermi level is 1.97 states/eV per cell. The value obtained for the energy relative to the elements is 1007 meV/atom.

=====

No. 4
Computed, not measured: a relaxed structure of MnOs2Cl at the PBE-GGA level of DFT.

The space group is C2/m (No. 12) and the conventional cell measures 5.370, 9.246 and 2.811 Å, with angles of 90.00, 120.30 and 90.00 degrees. Symmetry generates all atoms from Mn at (0.000, 0.000, 0.000), Os at (0.250, 0.250, 0.500) and Cl at (0.000, 0.500, 0.000).

Its energy above the lowest structure with this stoichiometry is 2.403 eV/f.u. The density of states at the Fermi level is 8.56 states/eV per cell.

=====

No. 5
Computed, not measured: a relaxed structure of Al2SiNi at the PBE-GGA level of DFT.

The space group is P4/mmm (No. 123) and the conventional cell measures 2.742, 2.742 and 7.334 Å, with angles of 90.00, 90.00 and 90.00 degrees. Symmetry generates all atoms from Al at (0.000, 0.000, 0.219), Si at (0.500, 0.500, 0.500) and Ni at (0.500, 0.500, 0.000).

Its energy above the lowest structure with this stoichiometry is 0.524 eV/f.u. The density of states at the Fermi level is 2.96 states/eV per cell.

=====

No. 6
Computed, not measured: a relaxed structure of Sm6MgNi3 at the PBE-GGA level of DFT.

The space group is Cmc2_1 (No. 36) and the conventional cell measures 11.190, 13.162 and 7.022 Å, with angles of 90.00, 90.00 and 90.00 degrees. Symmetry generates all atoms from Sm at (0.000, 0.039, 0.000), Sm at (0.000, 0.228, 0.640), Sm at (0.163, 0.467, 0.467), Sm at (0.228, 0.200, 0.317), Mg at (0.000, 0.326, 0.110), Ni at (0.000, 0.415, 0.764) and Ni at (0.184, 0.098, 0.686).

The density of states at the Fermi level is 40.03 states/eV per cell. The value obtained for the energy relative to the elements is -178 meV/atom.

=====

No. 7
Computed, not measured: a relaxed structure of ScHgMo at the PBE-GGA level of DFT.

The space group is P-6m2 (No. 187) and the conventional cell measures 4.8978, 4.8978 and 2.8193 Å, with angles of 90.00, 90.00 and 120.00 degrees. Symmetry generates all atoms from Sc at (0.0000, 0.0000, 0.0000), Hg at (0.3333, 0.6667, 0.5000) and Mo at (0.6667, 0.3333, 0.5000).

Its energy above the lowest structure with this stoichiometry is 0.496 eV/f.u. The density of states at the Fermi level is 3.91 states/eV per cell. The value obtained for the energy relative to the elements is 320 meV/atom.

=====

No. 8
Computed, not measured: a relaxed structure of CrCu4Re at the PBE-GGA level of DFT.

The space group is F-43m (No. 216) and the conventional cell measures 6.721, 6.721 and 6.721 Å, with angles of 90.00, 90.00 and 90.00 degrees. Symmetry generates all atoms from Cr at (0.000, 0.000, 0.000), Cu at (0.125, 0.125, 0.625) and Re at (0.250, 0.250, 0.250).

The density of states at the Fermi level is 20.22 states/eV per cell. The value obtained for the energy relative to the elements is 330 meV/atom.

=====

Copy entry 2 word for word.
Computed, not measured: a relaxed structure of CaPm2Cd at the PBE-GGA level of DFT.

The space group is Pnma (No. 62) and the conventional cell measures 6.749, 11.421 and 6.706 Å, with angles of 90.00, 90.00 and 90.00 degrees. Symmetry generates all atoms from Ca at (0.026, 0.250, 0.084), Pm at (0.177, 0.527, 0.312) and Cd at (0.078, 0.250, 0.567).

Its energy above the lowest structure with this stoichiometry is 0.000 eV/f.u. The density of states at the Fermi level is 20.57 states/eV per cell. The value obtained for the energy relative to the elements is -96 meV/atom.